Density functional theory data (PBE) for PmSmGaTc after structural relaxation.

Values from the calculation:
energy relative to the elements = -0.12 eV per atom
crystal system = cubic
density of states at the Fermi level = 1.089 states/eV/atom
SG = F-43m, No. 216

Cell: 5.0678 5.0678 5.0678 Å, 60.00 60.00 60.00°
With the nearest neighbours (Å) after each atom.
Sites, in units of the cell vectors:
Pm 0.0000 0.0000 0.0000  4 Tc 3.10, 4 Ga 3.10
Sm 0.5000 0.5000 0.5000  4 Tc 3.10, 4 Ga 3.10
Ga 0.7500 0.7500 0.7500  4 Pm 3.10, 4 Sm 3.10
Tc 0.2500 0.2500 0.2500  4 Sm 3.10, 4 Pm 3.10

Density functional theory data (PBE) for PmSmTlGa after structural relaxation.

Values from the calculation:
energy relative to the lowest polymorph listed for this composition = 29 meV/atom
energy relative to the elements = -0.44 eV per atom
crystal system = cubic
density of states at the Fermi level = 0.550 states/eV/atom
SG = F-43m, No. 216

Cell: 5.3369 5.3369 5.3369 Å, 60.00 60.00 60.00°
With the nearest neighbours (Å) after each atom.
Sites, in units of the cell vectors:
Pm 0.0000 0.0000 0.0000  4 Tl 3.27, 4 Ga 3.27
Sm 0.5000 0.5000 0.5000  4 Tl 3.27, 4 Ga 3.27
Tl 0.7500 0.7500 0.7500  4 Pm 3.27, 4 Sm 3.27
Ga 0.2500 0.2500 0.2500  4 Pm 3.27, 4 Sm 3.27

Density functional theory data (PBE) for PmSmTlGa after structural relaxation.

Values from the calculation:
energy relative to the lowest polymorph listed for this composition = 0 meV/atom
energy relative to the elements = -0.47 eV per atom
crystal system = tetragonal
density of states at the Fermi level = 0.479 states/eV/atom
SG = P4mm, No. 99

Cell: 3.7051 3.7051 7.7948 Å, 90.00 90.00 90.00°
With the nearest neighbours (Å) after each atom.
Sites, in units of the cell vectors:
Pm 0.0000 0.0000 0.0000  4 Ga 3.20, 4 Tl 3.35
Sm 0.0000 0.0000 0.4658  4 Ga 3.18, 4 Tl 3.34
Tl 0.5000 0.5000 0.7312  4 Sm 3.34, 4 Pm 3.35, 4 Tl 3.71
Ga 0.5000 0.5000 0.2347  4 Sm 3.18, 4 Pm 3.20

Density functional theory data (PBE) for Pm2Sm2ZnGa4 after structural relaxation.

Values from the calculation:
energy relative to the elements = -0.32 eV per atom
crystal system = tetragonal
density of states at the Fermi level = 0.950 states/eV/atom
SG = I4/mmm, No. 139

Cell: 6.6753 6.6753 6.6753 Å, 116.07 116.07 96.96°
With the nearest neighbours (Å) after each atom.
Sites, in units of the cell vectors:
Pm 0.2500 0.7500 0.5000  8 Ga 3.34, 4 Sm 3.58
Pm 0.7500 0.2500 0.5000  8 Ga 3.34, 4 Sm 3.58
Sm 0.1865 0.1865 0.0000  1 Zn 2.77, 4 Ga 3.06
Sm 0.8135 0.8135 0.0000  1 Zn 2.77, 4 Ga 3.06
Zn 0.5000 0.5000 0.0000  4 Ga 2.42
Ga 0.2580 0.2580 0.5161  1 Zn 2.42
Ga 0.2580 0.7420 0.0000  1 Zn 2.42
Ga 0.7420 0.2580 0.0000  1 Zn 2.42
Ga 0.7420 0.7420 0.4839  1 Zn 2.42

Density functional theory data (PBE) for Pm3Sm3Zn2Ga after structural relaxation.

Values from the calculation:
energy relative to the elements = -0.20 eV per atom
crystal system = hexagonal
density of states at the Fermi level = 1.242 states/eV/atom
SG = P-62m, No. 189

Cell: 8.8136 8.8136 3.6923 Å, 90.00 90.00 120.00°
With the nearest neighbours (Å) after each atom.
Sites, in units of the cell vectors:
Pm 0.0000 0.7247 0.0000  2 Ga 3.05, 2 Zn 3.22
Pm 0.2753 0.2753 0.0000  2 Ga 3.05, 2 Zn 3.22
Pm 0.7247 0.0000 0.0000  2 Ga 3.05, 2 Zn 3.22
Sm 0.0000 0.3932 0.5000  4 Zn 3.28, 6 Pm 3.46-3.59, 1 Ga 3.47
Sm 0.3932 0.0000 0.5000  4 Zn 3.28, 6 Pm 3.46-3.59, 1 Ga 3.47
Sm 0.6068 0.6068 0.5000  4 Zn 3.28, 6 Pm 3.46-3.59, 1 Ga 3.47
Zn 0.3333 0.6667 0.0000  3 Pm 3.22, 6 Sm 3.28
Zn 0.6667 0.3333 0.0000  3 Pm 3.22, 6 Sm 3.28
Ga 0.0000 0.0000 0.5000  6 Pm 3.05

Density functional theory data (PBE) for Pm4Ga2Sn after structural relaxation.

Values from the calculation:
energy relative to the elements = -0.39 eV per atom
crystal system = triclinic
density of states at the Fermi level = 1.137 states/eV/atom
SG = P-1, No. 2

Cell: 8.2806 8.2923 8.3140 Å, 109.02 108.98 110.18°
With the nearest neighbours (Å) after each atom.
Sites, in units of the cell vectors:
Pm 0.1184 0.1878 0.4285  3 Ga 3.02-3.03, 1 Sn 3.15
Pm 0.2407 0.8100 0.9284  3 Ga 3.02-3.03, 1 Sn 3.15
Pm 0.3103 0.7409 0.4285  3 Ga 3.02-3.03, 1 Sn 3.15
Pm 0.3121 0.3815 0.0715  3 Ga 3.02-3.03, 1 Sn 3.15
Pm 0.6879 0.6185 0.9285  3 Ga 3.02-3.03, 1 Sn 3.15
Pm 0.6897 0.2591 0.5715  3 Ga 3.02-3.03, 1 Sn 3.15
Pm 0.7593 0.1900 0.0716  3 Ga 3.02-3.03, 1 Sn 3.15
Pm 0.8816 0.8122 0.5715  3 Ga 3.02-3.03, 1 Sn 3.15
Ga 0.0000 0.0000 0.0000  6 Pm 3.02-3.03
Ga 0.0000 0.5000 0.0000  6 Pm 3.02-3.03
Ga 0.0000 0.5000 0.5000  6 Pm 3.02-3.03
Ga 0.5000 0.5000 0.5000  6 Pm 3.02-3.03
Sn 0.3749 0.1248 0.7499  8 Pm 3.15-3.45
Sn 0.6251 0.8752 0.2501  8 Pm 3.15-3.45

Density functional theory data (PBE) for Pm5GaSn2 after structural relaxation.

Values from the calculation:
energy relative to the lowest polymorph listed for this composition = 60 meV/atom
energy relative to the elements = -0.54 eV per atom
crystal system = tetragonal
density of states at the Fermi level = 0.934 states/eV/atom
SG = I4/mcm, No. 140

Cell: 9.1827 9.1827 9.1827 Å, 126.97 126.97 78.30°
With the nearest neighbours (Å) after each atom.
Sites, in units of the cell vectors:
Pm 0.0000 0.0000 0.0000  4 Sn 3.21, 2 Ga 3.56
Pm 0.0186 0.5186 0.8403  3 Sn 3.16-3.29, 2 Ga 3.35, 1 Pm 3.36
Pm 0.1782 0.0186 0.5000  3 Sn 3.16-3.29, 2 Ga 3.35, 1 Pm 3.36
Pm 0.3218 0.8218 0.8403  3 Sn 3.16-3.29, 2 Ga 3.35, 1 Pm 3.36
Pm 0.4814 0.3218 0.5000  3 Sn 3.16-3.29, 2 Ga 3.35, 1 Pm 3.36
Pm 0.5000 0.5000 0.0000  4 Sn 3.21, 2 Ga 3.56
Pm 0.5186 0.6782 0.5000  3 Sn 3.16-3.29, 2 Ga 3.35, 1 Pm 3.36
Pm 0.6782 0.1782 0.1597  3 Sn 3.16-3.29, 2 Ga 3.35, 1 Pm 3.36
Pm 0.8218 0.9814 0.5000  3 Sn 3.16-3.29, 2 Ga 3.35, 1 Pm 3.36
Pm 0.9814 0.4814 0.1597  3 Sn 3.16-3.29, 2 Ga 3.35, 1 Pm 3.36
Ga 0.2500 0.2500 0.0000  10 Pm 3.35-3.56
Ga 0.7500 0.7500 0.0000  10 Pm 3.35-3.56
Sn 0.1305 0.3695 0.5000  1 Sn 3.03, 8 Pm 3.16-3.29
Sn 0.3695 0.8695 0.2390  1 Sn 3.03, 8 Pm 3.16-3.29
Sn 0.6305 0.1305 0.7610  1 Sn 3.03, 8 Pm 3.16-3.29
Sn 0.8695 0.6305 0.5000  1 Sn 3.03, 8 Pm 3.16-3.29

Density functional theory data (PBE) for Pm5Ga2Sn4 after structural relaxation.

Values from the calculation:
energy relative to the elements = -0.38 eV per atom
crystal system = monoclinic
density of states at the Fermi level = 0.882 states/eV/atom
SG = C2/m, No. 12

Cell: 10.3049 10.3049 7.9349 Å, 98.63 98.63 24.43°
With the nearest neighbours (Å) after each atom.
Sites, in units of the cell vectors:
Pm 0.0000 0.0000 0.0000  2 Ga 3.05, 4 Sn 3.29
Pm 0.3407 0.3407 0.0365  2 Ga 3.03, 3 Sn 3.15-3.32
Pm 0.3504 0.3504 0.5352  4 Sn 3.11-3.23, 2 Ga 3.35
Pm 0.6496 0.6496 0.4648  4 Sn 3.11-3.23, 2 Ga 3.35
Pm 0.6593 0.6593 0.9635  2 Ga 3.03, 3 Sn 3.15-3.32
Ga 0.0931 0.0931 0.7305  3 Sn 2.67-2.76
Ga 0.9069 0.9069 0.2695  3 Sn 2.67-2.76
Sn 0.2251 0.2251 0.7208  1 Ga 2.67
Sn 0.4922 0.4922 0.3064  2 Ga 2.76, 1 Sn 3.04
Sn 0.5078 0.5078 0.6936  2 Ga 2.76, 1 Sn 3.04
Sn 0.7749 0.7749 0.2792  1 Ga 2.67

Density functional theory data (PBE) for Pm4Ga2Sn5 after structural relaxation.

Values from the calculation:
energy relative to the lowest polymorph listed for this composition = 0 meV/atom
energy relative to the elements = -0.68 eV per atom
crystal system = monoclinic
density of states at the Fermi level = 0.237 states/eV/atom
SG = P2/m, No. 10

Cell: 7.4990 4.3992 8.9200 Å, 90.00 91.17 90.00°
With the nearest neighbours (Å) after each atom.
Sites, in units of the cell vectors:
Pm 0.2221 0.0000 0.3637  2 Ga 3.23, 8 Sn 3.25-3.41
Pm 0.2386 0.0000 0.8978  4 Ga 3.20-3.28, 6 Sn 3.27-3.55
Pm 0.7614 0.0000 0.1022  4 Ga 3.20-3.28, 6 Sn 3.27-3.55
Pm 0.7779 0.0000 0.6363  2 Ga 3.23, 8 Sn 3.25-3.41
Ga 0.0858 0.5000 0.1221  1 Ga 2.51, 2 Sn 2.73
Ga 0.9142 0.5000 0.8779  1 Ga 2.51, 2 Sn 2.73
Sn 0.1244 0.5000 0.6315  1 Ga 2.73, 1 Sn 2.97
Sn 0.4479 0.5000 0.1594  1 Ga 2.73, 2 Sn 2.96-3.06
Sn 0.5000 0.5000 0.5000  4 Sn 3.06-3.07, 4 Pm 3.25
Sn 0.5521 0.5000 0.8406  1 Ga 2.73, 2 Sn 2.96-3.06
Sn 0.8756 0.5000 0.3685  1 Ga 2.73, 1 Sn 2.97

Density functional theory data (PBE) for Pm2GaSn4 after structural relaxation.

Values from the calculation:
energy relative to the lowest polymorph listed for this composition = 14 meV/atom
energy relative to the elements = -0.47 eV per atom
crystal system = tetragonal
density of states at the Fermi level = 0.582 states/eV/atom
SG = P-4m2, No. 115

Cell: 4.4949 4.4949 9.4466 Å, 90.00 90.00 90.00°
With the nearest neighbours (Å) after each atom.
Sites, in units of the cell vectors:
Pm 0.0000 0.5000 0.2323  2 Ga 3.14, 8 Sn 3.22-3.38
Pm 0.5000 0.0000 0.7677  2 Ga 3.14, 8 Sn 3.22-3.38
Ga 0.5000 0.5000 0.0000  4 Sn 2.81, 4 Pm 3.14
Sn 0.0000 0.0000 0.5000  4 Sn 3.18, 4 Pm 3.38
Sn 0.0000 0.5000 0.8218  2 Ga 2.81
Sn 0.5000 0.0000 0.1782  2 Ga 2.81
Sn 0.5000 0.5000 0.5000  4 Sn 3.18, 4 Pm 3.38

Density functional theory data (PBE) for Pm12Ga5Sn after structural relaxation.

Values from the calculation:
energy relative to the elements = -0.44 eV per atom
crystal system = orthorhombic
density of states at the Fermi level = 0.773 states/eV/atom
SG = Immm, No. 71

Cell: 8.8405 8.8405 8.8405 Å, 112.39 112.04 104.12°
With the nearest neighbours (Å) after each atom.
Sites, in units of the cell vectors:
Pm 0.0351 0.2322 0.8029  2 Ga 2.98-3.19
Pm 0.1807 0.2758 0.4565  4 Ga 3.12-3.25
Pm 0.1807 0.7242 0.9049  4 Ga 3.12-3.25
Pm 0.3211 0.0257 0.7046  3 Ga 2.98-3.13
Pm 0.3211 0.6165 0.2954  3 Ga 2.98-3.13
Pm 0.4294 0.2322 0.1971  2 Ga 2.98-3.19
Pm 0.5706 0.7678 0.8029  2 Ga 2.98-3.19
Pm 0.6789 0.3835 0.7046  3 Ga 2.98-3.13
Pm 0.6789 0.9743 0.2954  3 Ga 2.98-3.13
Pm 0.8193 0.2758 0.0951  4 Ga 3.12-3.25
Pm 0.8193 0.7242 0.5435  4 Ga 3.12-3.25
Pm 0.9649 0.7678 0.1971  2 Ga 2.98-3.19
Ga 0.0000 0.0000 0.0000  8 Pm 3.19-3.25, 2 Ga 3.54
Ga 0.1194 0.6194 0.5000  1 Ga 2.60
Ga 0.3583 0.0000 0.3583  1 Ga 2.80, 6 Pm 2.98-3.13
Ga 0.6417 0.0000 0.6417  1 Ga 2.80, 6 Pm 2.98-3.13
Ga 0.8806 0.3806 0.5000  1 Ga 2.60
Sn 0.5000 0.5000 0.0000  12 Pm 3.50-3.85

| no. | total DFT energy (no corrections) (eV per atom) |
| --- | --- |
| 1 | -5.837 |
| 2 | -4.160 |
| 3 | -4.189 |
| 4 | -3.908 |
| 5 | -3.977 |
| 6 | -4.539 |
| 7 | -4.889 |
| 8 | -4.548 |
| 9 | -4.773 |
| 10 | -4.548 |
| 11 | -4.667 |